Here is a relaxed structure of NpGeBi2 from Alexandria. Energies are from GGA-PBE.

Results
The distance to the lowest polymorph of the same formula is 271 meV/atom. The calculation puts the formation energy at 0.3103 eV/atom.

Cell lengths 3.3198, 3.3198, 35.3923 Å; angles 90.00, 90.00, 120.00 degrees
Space group R-3m (No. 166, hexagonal axes)
Unique sites:
Np: 0.0000 0.0000 0.0000 x3
Ge: 0.0000 0.0000 0.5000 x3
Bi: 0.0000 0.0000 0.4131 x6